Compound: Mn2Cu5Pd12
Source: the Alexandria database
Functional: PBE
Structure: relaxed

Its total DFT energy (no corrections) is -5.165 eV per atom. The calculation puts the magnetic moment at 2.345 Bohr magnetons per cell.

a = 7.9801 Å, b = 7.9801 Å, c = 7.3147 Å
α = 107.30°, β = 107.30°, γ = 41.25°
Positions (direct):
Mn 0.1685 0.8315 0.0000
Mn 0.8315 0.1685 0.0000
Cu 0.2489 0.2489 0.0038
Cu 0.2505 0.2505 0.4949
Cu 0.5000 0.5000 0.5000
Cu 0.7495 0.7495 0.5051
Cu 0.7511 0.7511 0.9962
Pd 0.0275 0.0275 0.3402
Pd 0.0941 0.5882 0.8009
Pd 0.0937 0.6120 0.3342
Pd 0.3880 0.9063 0.6658
Pd 0.4118 0.9059 0.1991
Pd 0.4426 0.4426 0.1380
Pd 0.5574 0.5574 0.8620
Pd 0.5882 0.0941 0.8009
Pd 0.6120 0.0937 0.3342
Pd 0.9063 0.3880 0.6658
Pd 0.9059 0.4118 0.1991
Pd 0.9725 0.9725 0.6598